Record 1
Compound: PrHo6Er2Sc
Source: the Alexandria database
Functional: GGA-PBE
Structure: relaxed

For the formation energy, the calculation gives 0.1257 eV/atom. The theoretical density comes out at 8.04 g cm⁻³. The value obtained for the total energy is -0.1707 hartree per atom. As for the symmetry: C2/c (15).

a b c (Å): 8.6850 9.0325 9.0325
angles (deg): 118.27 90.70 90.70
Fractional positions:
Er1 0.0593 0.3246 0.2103
Er2 0.5593 0.2103 0.3246
Er3 0.9407 0.6754 0.7897
Er4 0.4407 0.7897 0.6754
Pr1 0.7500 0.0336 0.9664
Pr2 0.2500 0.9664 0.0336
Ho1 0.7932 0.4581 0.0410
Ho2 0.0923 0.7338 0.4782
Ho3 0.4077 0.5218 0.2662
Ho4 0.5534 0.7887 0.1352
Ho5 0.0534 0.1352 0.7887
Ho6 0.2932 0.0410 0.4581
Ho7 0.2068 0.5419 0.9590
Ho8 0.9077 0.2662 0.5218
Ho9 0.5923 0.4782 0.7338
Ho10 0.7068 0.9590 0.5419
Ho11 0.4466 0.2113 0.8648
Ho12 0.9466 0.8648 0.2113
Sc1 0.7500 0.5595 0.4405
Sc2 0.2500 0.4405 0.5595

Record 2
Compound: PrHo6Er3Sc2
Source: the Alexandria database
Functional: GGA-PBE
Structure: relaxed

For the formation energy, the calculation gives 0.0379 eV/atom. The theoretical density comes out at 7.92 g cm⁻³. The value obtained for the total energy is -0.1781 hartree per atom. As for the symmetry: C2/m (12).

a b c (Å): 6.0420 6.0420 11.5886
angles (deg): 94.96 94.96 119.95
Fractional positions:
Er1 0.1673 0.8327 0.5000
Er2 0.8327 0.1673 0.5000
Er3 0.5000 0.5000 0.5000
Ho1 0.2530 0.2530 0.7519
Ho2 0.7470 0.7470 0.2481
Ho3 0.0835 0.4195 0.2482
Ho4 0.4195 0.0835 0.2482
Ho5 0.5805 0.9165 0.7518
Ho6 0.9165 0.5805 0.7518
Sc1 0.6667 0.3333 0.0000
Sc2 0.3333 0.6667 0.0000
Pr1 0.0000 0.0000 0.0000

> Which formula does entry 2 have?

PrHo6Er3Sc2

> Look up the theoretical density of the first one.

8.04 g cm⁻³

> What is the formula in the second record?

PrHo6Er3Sc2